(1)
Material: BaCr2NiS8
Method: DFT, GGA-PBE
State: relaxed

Calculated values
space-group type	R-3, No. 148
formation energy without anion corrections	-0.570	eV/atom
mass density	3.62	g cm⁻³
crystal system	trigonal

Cell: 5.841 5.841 9.272 Å, 71.64 71.64 60.00°
Fractional positions:
S1 0.827 0.827 0.519
S2 0.621 0.275 0.156
S3 0.725 0.052 0.844
Ba1 0.500 0.500 0.500
Cr1 0.746 0.746 0.761
S4 0.275 0.948 0.156
S5 0.948 0.621 0.156
S6 0.173 0.173 0.481
Cr2 0.254 0.254 0.239
Ni1 0.000 0.000 0.000
S7 0.052 0.379 0.844
S8 0.379 0.725 0.844

=====

(2)
Material: BaTa2CrNi
Method: DFT, GGA-PBE
State: relaxed

Calculated values
space-group type	P4/mmm, No. 123
E above lowest polymorph	17.29	kJ per mole of atoms
DFT formation energy	1506	meV/atom
mass density	8.23	g cm⁻³
crystal system	tetragonal

Cell: 4.589 5.846 4.589 Å, 90.00 90.00 90.00°
Last column: magnetic moment on the atom in μB.
Fractional positions:
Ta1 0.500 0.000 0.000  0.29
Ni1 0.500 0.500 0.500  0.11
Cr1 0.000 0.000 0.000  -0.19
Ba1 0.000 0.500 0.000  0.03
Ta2 0.000 0.000 0.500  0.17

=====

(3)
Material: BaTa2CrNi
Method: DFT, GGA-PBE
State: relaxed

Calculated values
space-group type	P4/mmm, No. 123
E above lowest polymorph	0.00	kJ per mole of atoms
DFT formation energy	1327	meV/atom
mass density	7.93	g cm⁻³
crystal system	tetragonal

Cell: 4.711 5.752 4.711 Å, 90.00 90.00 90.00°
Last column: magnetic moment on the atom in μB.
Fractional positions:
Ni1 0.000 0.000 0.000  -0.01
Ta1 0.500 0.000 0.000  -0.62
Cr1 0.500 0.500 0.500  3.92
Ta2 0.000 0.000 0.500  -0.42
Ba1 0.000 0.500 0.000  -0.01

=====

(4)
Material: BaZnCr2Ni
Method: DFT, GGA-PBE
State: relaxed

Calculated values
space-group type	P4/mmm, No. 123
E above lowest polymorph	61.46	kJ per mole of atoms
DFT formation energy	1197	meV/atom
mass density	4.38	g cm⁻³
crystal system	tetragonal

Cell: 4.834 5.926 4.834 Å, 90.00 90.00 90.00°
Last column: magnetic moment on the atom in μB.
Fractional positions:
Cr1 0.500 0.000 0.000  3.72
Cr2 0.000 0.000 0.500  3.84
Ba1 0.000 0.500 0.000  0.00
Ni1 0.500 0.500 0.500  -0.42
Zn1 0.000 0.000 0.000  0.04

=====

(5)
Material: Ba2ZnCrNi
Method: DFT, GGA-PBE
State: relaxed

Calculated values
space-group type	P4/mmm, No. 123
DFT formation energy	895	meV/atom
mass density	4.67	g cm⁻³
crystal system	tetragonal

Cell: 5.861 4.664 5.861 Å, 90.00 90.00 90.00°
Last column: magnetic moment on the atom in μB.
Fractional positions:
Ba1 0.500 0.000 0.000  0.02
Ba2 0.000 0.000 0.500  0.02
Zn1 0.000 0.500 0.000  0.00
Ni1 0.000 0.000 0.000  -0.04
Cr1 0.500 0.500 0.500  -0.41

=====

(6)
Material: BaZnCr2Ni
Method: DFT, GGA-PBE
State: relaxed

Calculated values
space-group type	P4/mmm, No. 123
E above lowest polymorph	0.00	kJ per mole of atoms
DFT formation energy	560	meV/atom
mass density	5.43	g cm⁻³
crystal system	tetragonal

Cell: 4.850 4.748 4.850 Å, 90.00 90.00 90.00°
Last column: magnetic moment on the atom in μB.
Fractional positions:
Cr1 0.000 0.000 0.500  3.67
Zn1 0.000 0.500 0.000  -0.07
Ni1 0.000 0.000 0.000  0.37
Cr2 0.500 0.000 0.000  3.45
Ba1 0.500 0.500 0.500  0.05